# 1
Entry from the Alexandria database: RbNaTlF5 after structural relaxation (PBE).

Structure (POSCAR):
```
RbNaTlF5
1.0
3.6851 -5.4115 0.0000
3.6851 5.4115 0.0000
-2.8483 0.0000 7.9248
Rb Na Tl F
2 2 2 10
Cartesian
1.5489 3.6334 5.9436
2.9731 -3.6334 1.9812
2.9731 3.4300 1.9812
1.5489 -3.4300 5.9436
3.6851 0.0000 0.0000
2.2610 0.0000 3.9624
-1.1912 0.5761 7.3874
1.8389 2.0196 3.2456
0.2330 -0.5761 3.4250
4.1073 2.0196 0.7168
1.5489 0.7950 5.9436
2.9731 -0.7950 1.9812
0.4147 -2.0196 7.2080
4.2890 0.5761 4.4998
2.6831 -2.0196 4.6792
5.7132 -0.5761 0.5374
```

Results
Formation energy without anion corrections, eV/atom: -2.343
SG: C2/c, No. 15
E, eV per atom: -4.094

# 2
Entry from the Alexandria database: Fe3HgAu after structural relaxation (PBE).

Structure (POSCAR):
```
Fe3HgAu
1.0
4.7866 0.0000 0.0000
0.0000 4.7866 0.0000
0.0000 0.0000 4.7866
Fe Hg Au
3 1 1
Cartesian
0.0000 0.0000 2.3933
0.0000 2.3933 0.0000
2.3933 0.0000 0.0000
2.3933 2.3933 2.3933
0.0000 0.0000 0.0000
```

Results
SG: Pm-3m, No. 221
ΔE to the lowest computed polymorph, meV per atom: 0
E, eV per atom: -4.578
DFT formation energy, kJ/mol of atoms: 117

# 3
Entry from the Alexandria database: Ga2BiIN after structural relaxation (PBE).

Structure (POSCAR):
```
Ga2BiIN
1.0
4.8215 0.0000 0.0000
0.0000 4.8215 0.0000
0.0000 0.0000 4.7362
Ga Bi I N
2 1 1 1
Cartesian
0.0000 2.4108 0.0000
2.4108 0.0000 0.0000
0.0000 0.0000 2.3681
2.4108 2.4108 2.3681
2.4108 2.4108 0.0000
```

Results
Formation energy without anion corrections, eV/atom: 0.637
SG: P4/mmm, No. 123
E, eV per atom: -3.325

# 4
Entry from the Alexandria database: Rb3Cd2Cl4F3 after structural relaxation (PBE).

Structure (POSCAR):
```
Rb3Cd2Cl4F3
1.0
-2.2767 12.8973 2.6628
2.2767 -12.8973 2.6628
2.2767 12.8973 -2.6628
Rb Cd Cl F
3 2 4 3
Cartesian
0.0000 0.0000 0.0000
2.2767 -8.2265 2.1128
2.2767 8.2265 2.1128
2.2767 -2.2779 2.0382
2.2767 2.2779 2.0382
2.2767 -4.8978 2.0476
2.2767 4.8978 2.0476
0.0000 10.6237 1.9829
0.0000 15.1710 1.9829
2.2767 10.6711 -0.8046
2.2767 0.0000 1.8517
0.0000 2.2263 1.8582
```

Results
Formation energy without anion corrections, eV/atom: -1.945
SG: Imm2, No. 44
E, eV per atom: -3.423

# 5
Entry from the Alexandria database: ScRuC2 after structural relaxation (PBE).

Structure (POSCAR):
```
ScRuC2
1.0
0.0000 2.7406 2.7406
2.7406 0.0000 2.7406
2.7406 2.7406 0.0000
Sc Ru C
1 1 2
Cartesian
0.0000 0.0000 0.0000
2.7406 2.7406 2.7406
1.3703 1.3703 1.3703
4.1109 4.1109 4.1109
```

Results
SG: Fm-3m, No. 225
E, eV per atom: -7.981
DFT formation energy, kJ/mol of atoms: 51

# 6
Entry from the Alexandria database: Sm12ThSc7 after structural relaxation (PBE).

Structure (POSCAR):
```
Sm12ThSc7
1.0
8.1717 4.7180 2.6696
-8.1717 4.7180 2.6696
0.0000 -9.4359 2.6696
Sm Th Sc
12 1 7
Cartesian
-2.3129 -5.4299 2.6696
-5.8588 0.7119 2.6696
-2.6862 -1.5509 2.4172
2.3129 -5.4299 2.6696
-3.5459 4.7180 2.6696
2.6862 -1.5509 2.4172
0.0000 3.1017 2.4172
0.0000 -3.1017 5.5915
-2.6862 1.5509 5.5915
5.8588 0.7119 2.6696
3.5459 4.7180 2.6696
2.6862 1.5509 5.5915
0.0000 0.0000 0.0000
0.0000 -3.1521 2.2168
-2.7298 1.5761 2.2168
2.7298 1.5760 2.2168
0.0000 0.0000 4.0044
-2.7298 -1.5760 5.7920
2.7298 -1.5760 5.7920
0.0000 3.1521 5.7920
```

Results
SG: R-3m, No. 166
E, eV per atom: -5.161
DFT formation energy, kJ/mol of atoms: 25

# 7
Entry from the Alexandria database: Sb4AsRu after structural relaxation (PBE).

Structure (POSCAR):
```
Sb4AsRu
1.0
0.0000 4.2863 4.2863
4.2863 0.0000 4.2863
4.2863 4.2863 0.0000
Sb As Ru
4 1 1
Cartesian
1.0727 1.0727 1.0727
3.2137 3.2137 1.0727
3.2137 1.0727 3.2137
1.0727 3.2137 3.2137
6.4295 6.4295 6.4295
4.2863 4.2863 4.2863
```

Results
Formation energy without anion corrections, eV/atom: 1.021
SG: F-43m, No. 216
E, eV per atom: -4.048

# 8
Entry from the Alexandria database: AlCd3 after structural relaxation (PBE).

Structure (POSCAR):
```
AlCd3
1.0
3.0677 0.0000 0.0000
-1.5339 2.6567 0.0000
0.0000 0.0000 10.5533
Al Cd
1 3
Cartesian
0.0000 0.0000 0.0000
0.0000 0.0000 5.2766
1.5339 0.8856 2.5186
1.5339 0.8856 8.0347
```

Results
SG: P-6m2, No. 187
E, eV per atom: -1.527
DFT formation energy, kJ/mol of atoms: 9

The highest E belongs to which entry? AlCd3